Entry 1:
# Rb3DyCl6

A crystal of Rb3DyCl6 relaxed with PBEsol (meta-GGA SCAN, Alexandria).

Lattice parameters (Å, degrees): 7.9715 7.9715 7.9715 60.00 60.00 60.00
Positions (direct):
1 Rb 0.5000 0.5000 0.5000
2 Cl 0.2304 0.7696 0.2304
3 Cl 0.7696 0.7696 0.2304
4 Cl 0.2304 0.2304 0.7696
5 Cl 0.2304 0.7696 0.7696
6 Rb 0.7500 0.7500 0.7500
7 Rb 0.2500 0.2500 0.2500
8 Dy 0.0000 0.0000 0.0000
9 Cl 0.7696 0.2304 0.7696
10 Cl 0.7696 0.2304 0.2304

Computed properties:
formation energy (no corrections)	-2308	meV/atom
VASP energy	-1.330	Ry per atom
crystal system	cubic

Entry 2:
# ZrCd2I

A crystal of ZrCd2I relaxed with PBEsol (meta-GGA SCAN, Alexandria).

Lattice parameters (Å, degrees): 5.1843 5.1843 5.1843 60.00 60.00 60.00
Positions (direct):
1 I 0.5000 0.5000 0.5000
2 Cd 0.2500 0.2500 0.2500
3 Zr 0.0000 0.0000 0.0000
4 Cd 0.7500 0.7500 0.7500

Computed properties:
formation energy (no corrections)	600	meV/atom
VASP energy	-2.313	Ry per atom
crystal system	cubic

Entry 3:
# NiAsAuBr2

A crystal of NiAsAuBr2 relaxed with PBEsol (meta-GGA SCAN, Alexandria).

Lattice parameters (Å, degrees): 4.5119 4.8404 4.8404 90.00 90.00 90.00
Positions (direct):
1 Ni 0.0000 0.0000 0.0000
2 As 0.5000 0.0000 0.0000
3 Au 0.5000 0.5000 0.5000
4 Br 0.0000 0.5000 0.0000
5 Br 0.0000 0.0000 0.5000

Computed properties:
formation energy (no corrections)	500	meV/atom
VASP energy	-2.086	Ry per atom
crystal system	tetragonal

- Among the records above, which one has the highest formation energy (no corrections)?
  ZrCd2I

- What is the formation energy (no corrections) in the third record?
  500 meV/atom